## La4Re5 (PBE)

Data for an optimized crystal structure of La4Re5.

Cell: 7.697 7.697 7.697 Å, 92.62 92.62 155.29°
Fractional coordinates of all 9 atoms:
La  0.000  0.317  0.317
La  0.000  0.683  0.683
La  0.317  0.000  0.317
La  0.683  0.000  0.683
Re  0.000  0.000  0.000
Re  0.353  0.353  0.706
Re  0.353  0.647  0.000
Re  0.647  0.353  0.000
Re  0.647  0.647  0.294

Computed properties:
The density is 13.26 g cm⁻³. For the formation energy, the calculation gives 0.671 eV per atom. The calculation puts the total energy at -8.4347 eV/atom. For the total magnetic moment, the calculation gives 0.0 μB/cell. As for the space group: I4/mmm.